[1]
DFT (PBE-GGA) results for an optimized crystal structure of AlNi2Ru.

Unit cell a=4.4488 b=4.4488 c=4.4885 alpha=78.94 beta=78.94 gamma=34.63
Closest atoms and distances in Å follow each position.
Sites, in units of the cell vectors:
Ru 0.4998 0.4998 0.4895  7 Ni 2.56-2.65, 3 Al 2.61-2.64, 2 Ru 2.65
Al 0.7469 0.7469 0.7636  7 Ni 2.51-2.67, 3 Ru 2.61-2.64, 2 Al 2.65
Ni 0.0025 0.0025 0.0010  3 Al 2.51-2.60, 4 Ru 2.56-2.65, 5 Ni 2.57-2.65
Ni 0.2508 0.2508 0.2459  4 Al 2.54-2.67, 3 Ru 2.56-2.57, 5 Ni 2.57-2.65

Summary:
- V (Å³/atom) = 12.4

[2]
DFT (PBE-GGA) results for an optimized crystal structure of Al5Ni4Ru.

Unit cell a=2.9624 b=2.9624 c=14.1844 alpha=90.00 beta=90.00 gamma=90.00
Closest atoms and distances in Å follow each position.
Sites, in units of the cell vectors:
Al 0.5000 0.5000 0.1026  4 Ru 2.55, 4 Ni 2.55, 1 Al 2.84
Al 0.5000 0.5000 0.3031  8 Ni 2.51, 1 Al 2.79
Al 0.5000 0.5000 0.5000  8 Ni 2.52, 2 Al 2.79
Al 0.5000 0.5000 0.6969  8 Ni 2.51, 1 Al 2.79
Al 0.5000 0.5000 0.8974  4 Ru 2.55, 4 Ni 2.55, 1 Al 2.84
Ni 0.0000 0.0000 0.2055  8 Al 2.51-2.55, 1 Ni 2.77
Ni 0.0000 0.0000 0.4010  8 Al 2.51-2.52, 2 Ni 2.77-2.81
Ni 0.0000 0.0000 0.5990  8 Al 2.51-2.52, 2 Ni 2.77-2.81
Ni 0.0000 0.0000 0.7945  8 Al 2.51-2.55, 1 Ni 2.77
Ru 0.0000 0.0000 0.0000  8 Al 2.55

Summary:
- V (Å³/atom) = 12.4

[3]
DFT (PBE-GGA) results for an optimized crystal structure of Al2NiRu.

Unit cell a=4.9872 b=4.9872 c=4.9872 alpha=144.06 beta=133.15 gamma=60.43
Closest atoms and distances in Å follow each position.
Sites, in units of the cell vectors:
Ru 0.2547 0.7547 0.5000  6 Al 2.52-2.65, 2 Ni 2.65
Al 0.0051 0.0051 0.0000  4 Ni 2.51, 2 Ru 2.65, 4 Al 2.79-2.80
Al 0.7347 0.2347 0.5000  2 Ni 2.50, 4 Ru 2.52, 4 Al 2.79-2.80
Ni 0.5055 0.5055 0.0000  6 Al 2.50-2.51, 2 Ru 2.65

Summary:
- V (Å³/atom) = 13.1

For reference, formation energy by record: -0.2458, -0.6678, -0.5312 eV/atom.